1.
DFT (PBE) results for a geometry-optimized Be3B structure.

Cell and atoms, written as CIF:
```
data_Be3B
_chemical_formula_sum 'Be3 B1'
_cell_length_a 3.073
_cell_length_b 3.073
_cell_length_c 3.073
_cell_angle_alpha 90.00
_cell_angle_beta 90.00
_cell_angle_gamma 90.00
_symmetry_space_group_name_H-M 'P m -3 m'
_symmetry_Int_Tables_number 221
_symmetry_space_group_name_Hall '-P 4 2 3'
loop_
_atom_site_label
_atom_site_fract_x
_atom_site_fract_y
_atom_site_fract_z
Be1 0.000 0.000 0.500
B1 0.500 0.500 0.500
```

Calculated values
ΔE to the lowest computed polymorph = 0.2469 eV/atom


2.
DFT (PBE) results for a geometry-optimized Be3B structure.

Cell and atoms, written as CIF:
```
data_Be3B
_chemical_formula_sum 'Be6 B2'
_cell_length_a 3.322
_cell_length_b 3.305
_cell_length_c 5.965
_cell_angle_alpha 90.00
_cell_angle_beta 105.75
_cell_angle_gamma 90.00
_symmetry_space_group_name_H-M 'P 1 21/m 1'
_symmetry_Int_Tables_number 11
_symmetry_space_group_name_Hall '-P 2yb'
loop_
_atom_site_label
_atom_site_fract_x
_atom_site_fract_y
_atom_site_fract_z
Be1 0.056 0.250 0.115
Be2 0.249 0.250 0.496
Be3 0.431 0.250 0.861
B1 0.145 0.750 0.295
```

Calculated values
ΔE to the lowest computed polymorph = 0.0000 eV/atom


3.
DFT (PBE) results for a geometry-optimized Be4B structure.

Cell and atoms, written as CIF:
```
data_Be4B
_chemical_formula_sum 'Be8 B2'
_cell_length_a 3.347
_cell_length_b 3.347
_cell_length_c 7.010
_cell_angle_alpha 90.00
_cell_angle_beta 90.00
_cell_angle_gamma 90.00
_symmetry_space_group_name_H-M 'P 4/n m m'
_symmetry_Int_Tables_number 129
loop_
_symmetry_equiv_pos_as_xyz
'x,y,z'
'-x,-y,-z'
'-y+1/2,x,z'
'y+1/2,-x,-z'
'-x+1/2,-y+1/2,z'
'x+1/2,y+1/2,-z'
'y,-x+1/2,z'
'-y,x+1/2,-z'
'x+1/2,-y,-z'
'-x+1/2,y,z'
'-y,-x,-z'
'y,x,z'
'-x,y+1/2,-z'
'x,-y+1/2,z'
'y+1/2,x+1/2,-z'
'-y+1/2,-x+1/2,z'
loop_
_atom_site_label
_atom_site_fract_x
_atom_site_fract_y
_atom_site_fract_z
Be1 0.250 0.250 0.019
Be2 0.250 0.750 0.196
Be3 0.250 0.750 0.500
B1 0.250 0.250 0.332
```

Calculated values
ΔE to the lowest computed polymorph = 0.0000 eV/atom


4.
DFT (PBE) results for a geometry-optimized Be3B structure.

Cell and atoms, written as CIF:
```
data_Be3B
_chemical_formula_sum 'Be3 B1'
_cell_length_a 2.016
_cell_length_b 2.499
_cell_length_c 6.433
_cell_angle_alpha 90.00
_cell_angle_beta 90.00
_cell_angle_gamma 90.00
_symmetry_space_group_name_H-M 'P m m 2'
_symmetry_Int_Tables_number 25
_symmetry_space_group_name_Hall 'P 2 -2'
loop_
_atom_site_label
_atom_site_fract_x
_atom_site_fract_y
_atom_site_fract_z
Be1 0.000 0.000 0.000
Be2 0.000 0.500 0.454
Be3 0.500 0.500 0.760
B1 0.500 0.000 0.261
```

Calculated values
ΔE to the lowest computed polymorph = 0.2679 eV/atom